The following is a DFT calculation (PBE with a Hubbard U) of BaV4ZnO8 after structural relaxation.

Properties
The value obtained for the mass density is 4.59 g cm⁻³. The electronic total energy comes out at -99.03 eV for the cell shown. For the total magnetization, the calculation gives 8.00 μB/f.u. As for the symmetry: No. 162.

Cell: 5.488 5.488 7.408 Å, 90.00 90.00 120.00°
Positions (direct):
1 Ba 0.000 0.000 0.000
2 V 0.333 0.667 0.256
3 V 0.333 0.667 0.744
4 V 0.667 0.333 0.256
5 V 0.667 0.333 0.744
6 Zn 0.000 0.000 0.500
7 O 0.000 0.316 0.323
8 O 0.000 0.684 0.677
9 O 0.316 0.000 0.323
10 O 0.316 0.316 0.677
11 O 0.333 0.667 0.000
12 O 0.667 0.333 0.000
13 O 0.684 0.000 0.677
14 O 0.684 0.684 0.323